Record 1
# Mo4PtAu

A relaxed structure of Mo4PtAu (PBE, Alexandria via LeMat-Bulk).

Calculated values
ΔE_f = 0.27 eV per atom
Mass density = 12.93 g/cm³
Uncorrected energy = -8.50 eV/atom

Lattice parameters (Å, degrees): 7.360 7.360 7.360 90.00 90.00 90.00
Space group F-43m (No. 216)
Symmetry-distinct sites (fractional):
Mo: 0.124 0.124 0.124
Pt: 0.000 0.000 0.500
Au: 0.250 0.250 0.750

Record 2
# Sr2Cu4Si3Ge

A relaxed structure of Sr2Cu4Si3Ge (PBE, Alexandria via LeMat-Bulk).

Calculated values
Mass density = 5.43 g/cm³
Uncorrected energy = -4.37 eV/atom
Formation energy from raw total energies = -300 kJ/mol of formula units

Lattice parameters (Å, degrees): 4.225 4.225 10.052 90.00 90.00 90.00
Space group P-4m2 (No. 115)
Symmetry-distinct sites (fractional):
Sr: 0.000 0.500 0.246
Cu: 0.000 0.000 0.000
Cu: 0.000 0.500 0.632
Cu: 0.500 0.500 0.000
Si: 0.000 0.500 0.879
Si: 0.500 0.500 0.500
Ge: 0.000 0.000 0.500

Record 3
# AcLaDyTl

A relaxed structure of AcLaDyTl (PBE, Alexandria via LeMat-Bulk).

Calculated values
ΔE_f = -0.01 eV per atom
Mass density = 9.19 g/cm³
Uncorrected energy = -4.01 eV/atom

Lattice parameters (Å, degrees): 8.092 8.092 8.092 90.00 90.00 90.00
Space group F-43m (No. 216)
Symmetry-distinct sites (fractional):
Ac: 0.000 0.000 0.000
La: 0.250 0.250 0.750
Dy: 0.250 0.250 0.250
Tl: 0.000 0.000 0.500

Record 4
# La9Co2Sn3

A relaxed structure of La9Co2Sn3 (PBE, Alexandria via LeMat-Bulk).

Calculated values
ΔE_f = -0.46 eV per atom
Mass density = 6.69 g/cm³
Uncorrected energy = -5.50 eV/atom

Lattice parameters (Å, degrees): 7.3878 7.3878 9.0580 90.00 90.00 120.00
Space group P-3m1 (No. 164)
Symmetry-distinct sites (fractional):
La: 0.0000 0.5000 0.0000
La: 0.1636 0.3271 0.6624
Co: 0.3333 0.6667 0.8203
Sn: 0.0000 0.0000 0.0000
Sn: 0.3333 0.6667 0.3354

Record 5
# BaPtN3

A relaxed structure of BaPtN3 (PBE, Alexandria via LeMat-Bulk).

Calculated values
Mass density = 6.99 g/cm³
Uncorrected energy = -3.54 eV/atom
Formation energy from raw total energies = 1471 kJ/mol of formula units

Lattice parameters (Å, degrees): 4.465 4.465 4.465 90.00 90.00 90.00
Space group Pm-3m (No. 221)
Symmetry-distinct sites (fractional):
Ba: 0.000 0.000 0.000
Pt: 0.500 0.500 0.500
N: 0.000 0.000 0.500

Record 6
# Mn2RuSe

A relaxed structure of Mn2RuSe (PBE, Alexandria via LeMat-Bulk).

Calculated values
Mass density = 8.46 g/cm³
Uncorrected energy = -7.60 eV/atom
Formation energy from raw total energies = 66 kJ/mol of formula units

Lattice parameters (Å, degrees): 3.111 4.188 4.368 90.00 90.00 90.00
Space group Pmmm (No. 47)
Symmetry-distinct sites (fractional):
Mn: 0.000 0.000 0.000
Mn: 0.500 0.000 0.500
Ru: 0.000 0.500 0.500
Se: 0.500 0.500 0.000

Record 7
# MgReNi2

A relaxed structure of MgReNi2 (PBE, Alexandria via LeMat-Bulk).

Calculated values
ΔE_f = -0.01 eV per atom
Mass density = 10.37 g/cm³
Uncorrected energy = -6.41 eV/atom

Lattice parameters (Å, degrees): 2.625 4.348 4.598 90.00 90.08 90.00
Space group Pm (No. 6)
Symmetry-distinct sites (fractional):
Mg: 0.000 0.000 0.000
Re: 0.997 0.500 0.393
Ni: 0.500 0.000 0.517
Ni: 0.500 0.500 0.885

Record 8
# TaMo

A relaxed structure of TaMo (PBE, Alexandria via LeMat-Bulk).

Calculated values
ΔE_f = -0.09 eV per atom
Mass density = 13.57 g/cm³
Uncorrected energy = -11.44 eV/atom

Lattice parameters (Å, degrees): 2.844 9.060 5.604 90.00 110.21 90.00
Space group P2/c (No. 13)
Symmetry-distinct sites (fractional):
Ta: 0.000 0.000 0.000
Ta: 0.500 0.258 0.250
Mo: 0.000 0.500 0.000
Mo: 0.500 0.256 0.750

Record 9
# Lu3Al

A relaxed structure of Lu3Al (PBE, Alexandria via LeMat-Bulk).

Calculated values
ΔE_f = -0.20 eV per atom
Mass density = 9.11 g/cm³
Uncorrected energy = -4.53 eV/atom

Lattice parameters (Å, degrees): 6.6374 6.6374 5.2750 90.00 90.00 120.00
Space group P6_3/mmc (No. 194)
Symmetry-distinct sites (fractional):
Lu: 0.1721 0.3443 0.2500
Al: 0.3333 0.6667 0.7500

Record 10
# VCuAg

A relaxed structure of VCuAg (PBE, Alexandria via LeMat-Bulk).

Calculated values
Offset from the most stable computed form = 107 meV per atom
ΔE_f = 0.25 eV per atom
Mass density = 8.34 g/cm³
Uncorrected energy = -5.11 eV/atom

Lattice parameters (Å, degrees): 2.675 4.444 7.465 90.00 93.96 90.00
Space group Pm (No. 6)
Symmetry-distinct sites (fractional):
V: 0.000 0.000 0.000
V: 0.335 0.000 0.261
Cu: 0.211 0.500 0.452
Cu: 0.711 0.500 0.156
Ag: 0.400 0.500 0.810
Ag: 0.808 0.000 0.612

Record 11
# K3UPb2S6

A relaxed structure of K3UPb2S6 (PBE, Alexandria via LeMat-Bulk).

Calculated values
Mass density = 4.71 g/cm³
Uncorrected energy = -5.03 eV/atom
Formation energy from raw total energies = -1316 kJ/mol of formula units

Lattice parameters (Å, degrees): 7.351 12.716 7.662 90.00 108.77 90.00
Space group C2/m (No. 12)
Symmetry-distinct sites (fractional):
K: 0.000 0.000 0.000
K: 0.000 0.326 0.000
U: 0.000 0.500 0.500
Pb: 0.000 0.166 0.500
S: 0.219 0.350 0.707
S: 0.228 0.500 0.294

Record 12
# AlGaNiI2

A relaxed structure of AlGaNiI2 (PBE, Alexandria via LeMat-Bulk).

Calculated values
Mass density = 4.87 g/cm³
Uncorrected energy = -2.96 eV/atom
Formation energy from raw total energies = 80 kJ/mol of formula units

Lattice parameters (Å, degrees): 5.526 5.526 4.573 90.00 90.00 90.00
Space group P4/mmm (No. 123)
Symmetry-distinct sites (fractional):
Al: 0.000 0.000 0.000
Ga: 0.500 0.500 0.000
Ni: 0.500 0.500 0.500
I: 0.000 0.500 0.500

Record 13
# Nd2MgScO6

A relaxed structure of Nd2MgScO6 (PBE, Alexandria via LeMat-Bulk).

Calculated values
Mass density = 5.82 g/cm³
Uncorrected energy = -7.75 eV/atom
Formation energy from raw total energies = -2922 kJ/mol of formula units

Lattice parameters (Å, degrees): 5.559 5.834 9.681 90.00 124.44 90.00
Space group P2_1/c (No. 14)
Symmetry-distinct sites (fractional):
Nd: 0.230 0.063 0.249
Mg: 0.000 0.000 0.500
Sc: 0.500 0.000 0.000
O: 0.140 0.199 0.944
O: 0.245 0.701 0.942
O: 0.359 0.041 0.749

Record 14
# CaLaAl

A relaxed structure of CaLaAl (PBE, Alexandria via LeMat-Bulk).

Calculated values
Offset from the most stable computed form = 207 meV per atom
ΔE_f = -0.07 eV per atom
Mass density = 3.82 g/cm³
Uncorrected energy = -3.63 eV/atom

Lattice parameters (Å, degrees): 5.3017 5.3017 3.6766 90.00 90.00 120.00
Space group P3m1 (No. 156)
Symmetry-distinct sites (fractional):
Ca: 0.0000 0.0000 0.0000
La: 0.6667 0.3333 0.4220
Al: 0.3333 0.6667 0.7641

Record 15
# CaPr3Dy2Se6

A relaxed structure of CaPr3Dy2Se6 (PBE, Alexandria via LeMat-Bulk).

Calculated values
Mass density = 6.72 g/cm³
Uncorrected energy = -5.71 eV/atom
Formation energy from raw total energies = -2127 kJ/mol of formula units

Lattice parameters (Å, degrees): 7.174 12.431 7.386 90.00 108.80 90.00
Space group C2/m (No. 12)
Symmetry-distinct sites (fractional):
Ca: 0.000 0.000 0.000
Pr: 0.000 0.164 0.500
Pr: 0.000 0.500 0.500
Dy: 0.000 0.333 0.000
Se: 0.242 0.500 0.231
Se: 0.246 0.168 0.235

Record 16
# Y3PuRu2

A relaxed structure of Y3PuRu2 (PBE, Alexandria via LeMat-Bulk).

Calculated values
ΔE_f = -0.20 eV per atom
Mass density = 7.41 g/cm³
Uncorrected energy = -8.91 eV/atom

Lattice parameters (Å, degrees): 6.671 13.398 7.150 90.00 90.00 90.00
Space group Ibam (No. 72)
Symmetry-distinct sites (fractional):
Y: 0.000 0.000 0.250
Y: 0.000 0.265 0.250
Pu: 0.000 0.500 0.000
Ru: 0.240 0.126 0.000

Record 17
# NaIn12Pt6

A relaxed structure of NaIn12Pt6 (PBE, Alexandria via LeMat-Bulk).

Calculated values
ΔE_f = -0.36 eV per atom
Mass density = 9.96 g/cm³
Uncorrected energy = -4.06 eV/atom

Lattice parameters (Å, degrees): 12.6608 12.6608 9.2639 90.00 90.00 120.00
Space group R-3m (No. 166, hexagonal axes)
Symmetry-distinct sites (fractional):
Na: 0.0000 0.0000 0.0000
In: 0.0000 0.3807 0.5000
In: 0.0851 0.1701 0.3176
Pt: 0.0522 0.5261 0.2521

Record 18
# CdAg4P

A relaxed structure of CdAg4P (PBE, Alexandria via LeMat-Bulk).

Calculated values
ΔE_f = 0.32 eV per atom
Mass density = 8.15 g/cm³
Uncorrected energy = -2.64 eV/atom

Lattice parameters (Å, degrees): 7.767 7.767 7.767 90.00 90.00 90.00
Space group F-43m (No. 216)
Symmetry-distinct sites (fractional):
Cd: 0.000 0.000 0.000
Ag: 0.125 0.125 0.375
P: 0.250 0.250 0.750

Record 19
# TaCrW2

A relaxed structure of TaCrW2 (PBE, Alexandria via LeMat-Bulk).

Calculated values
Offset from the most stable computed form = 55 meV per atom
ΔE_f = 0.02 eV per atom
Mass density = 15.95 g/cm³
Uncorrected energy = -11.82 eV/atom

Lattice parameters (Å, degrees): 5.409 8.909 2.758 90.00 109.81 90.00
Space group C2/m (No. 12)
Symmetry-distinct sites (fractional):
Ta: 0.000 0.000 0.000
Cr: 0.000 0.500 0.000
W: 0.250 0.250 0.500

Record 20
# PmDyEr2

A relaxed structure of PmDyEr2 (PBE, Alexandria via LeMat-Bulk).

Calculated values
Offset from the most stable computed form = 194 meV per atom
ΔE_f = 0.21 eV per atom
Mass density = 8.08 g/cm³
Uncorrected energy = -4.41 eV/atom

Lattice parameters (Å, degrees): 6.923 6.902 11.041 90.00 90.04 90.00
Space group P2/c (No. 13)
Symmetry-distinct sites (fractional):
Pm: 0.126 0.126 0.387
Dy: 0.376 0.376 0.613
Er: 0.125 0.376 0.888
Er: 0.376 0.126 0.112

Record 21
# SbPdI2N

A relaxed structure of SbPdI2N (PBE, Alexandria via LeMat-Bulk).

Calculated values
Offset from the most stable computed form = 318 meV per atom
Mass density = 7.14 g/cm³
Uncorrected energy = -3.12 eV/atom
Formation energy from raw total energies = 497 kJ/mol of formula units

Lattice parameters (Å, degrees): 4.848 4.848 4.909 90.00 90.00 90.00
Space group P4/mmm (No. 123)
Symmetry-distinct sites (fractional):
Sb: 0.000 0.000 0.000
Pd: 0.500 0.500 0.000
I: 0.000 0.500 0.500
N: 0.000 0.000 0.500

Record 22
# La4Bi6O19

A relaxed structure of La4Bi6O19 (PBE, Alexandria via LeMat-Bulk).

Calculated values
Mass density = 7.18 g/cm³
Uncorrected energy = -6.45 eV/atom
Formation energy from raw total energies = -4797 kJ/mol of formula units

Lattice parameters (Å, degrees): 9.925 9.925 9.925 90.00 90.00 90.00
Space group I23 (No. 197)
Symmetry-distinct sites (fractional):
La: 0.146 0.146 0.854
Bi: 0.000 0.329 0.500
O: 0.000 0.000 0.000
O: 0.000 0.000 0.356
O: 0.031 0.307 0.720

Record 23
# NiSn2GeBi

A relaxed structure of NiSn2GeBi (PBE, Alexandria via LeMat-Bulk).

Calculated values
ΔE_f = 0.07 eV per atom
Mass density = 7.85 g/cm³
Uncorrected energy = -4.39 eV/atom

Lattice parameters (Å, degrees): 5.176 5.176 4.563 90.00 90.00 90.00
Space group P4/mmm (No. 123)
Symmetry-distinct sites (fractional):
Ni: 0.000 0.000 0.000
Sn: 0.000 0.500 0.000
Ge: 0.000 0.000 0.500
Bi: 0.500 0.500 0.500